1.
The following is a GGA-PBE calculation of a relaxed structure of K3Th3BeS8, from the Alexandria database.

Cell: 8.0676 8.0673 8.8908 Å, 116.97 90.00 120.00°
Atoms (fractional coordinates):
1 K 0.0000 0.0000 0.0000
2 K 0.0000 0.5000 0.0000
3 K 0.5000 0.5000 0.0000
4 Th 0.5000 0.0000 0.5000
5 Th 0.5000 0.5000 0.5000
6 Th 0.0000 0.5000 0.5000
7 Be 0.0000 0.0000 0.5000
8 S 0.2601 0.5203 0.2803
9 S 0.7399 0.4797 0.7197
10 S 0.7895 0.5791 0.3207
11 S 0.2105 0.4209 0.6793
12 S 0.7867 0.0310 0.3181
13 S 0.2133 0.9690 0.6819
14 S 0.2443 0.0310 0.3181
15 S 0.7557 0.9690 0.6819

Computed properties:
M_tot (μB per cell): 0.00
Formation energy from raw total energies (meV/atom): -1522.1

=====

2.
The following is a GGA-PBE calculation of a relaxed structure of MnAl4Ir2, from the Alexandria database.

Cell: 4.2495 4.2495 7.1986 Å, 72.83 72.83 60.00°
Atoms (fractional coordinates):
1 Mn 0.0000 0.0000 0.0000
2 Al 0.8686 0.8686 0.3943
3 Al 0.1314 0.1314 0.6057
4 Al 0.6121 0.6121 0.1636
5 Al 0.3879 0.3879 0.8364
6 Ir 0.7439 0.7439 0.7684
7 Ir 0.2561 0.2561 0.2316

Computed properties:
M_tot (μB per cell): 3.35
DFT formation energy (meV/atom): -735.9